GGA+U YMg6VO8, relaxed; E_tot = -102.24 eV/cell
1.0
4.459 0.000 0.000
0.000 4.459 0.000
0.000 0.000 8.890
Y Mg V O
1 6 1 8
Direct
0.000 0.000 0.000 Y
0.000 0.500 0.264 Mg
0.000 0.500 0.736 Mg
0.500 0.000 0.264 Mg
0.500 0.000 0.736 Mg
0.500 0.500 0.000 Mg
0.500 0.500 0.500 Mg
0.000 0.000 0.500 V
0.000 0.000 0.256 O
0.000 0.000 0.744 O
0.000 0.500 0.000 O
0.000 0.500 0.500 O
0.500 0.000 0.000 O
0.500 0.000 0.500 O
0.500 0.500 0.253 O
0.500 0.500 0.747 O